# PBE Cs2TePdCl6, optimized geometry
data_Cs2TePdCl6
_space_group_name_H-M_alt 'I 4/m m m'
_space_group_IT_number 139
_space_group_name_Hall '-I 4 2'
_cell_length_a 7.470
_cell_length_b 7.470
_cell_length_c 10.635
_cell_angle_alpha 90.00
_cell_angle_beta 90.00
_cell_angle_gamma 90.00
loop_
_atom_site_label
_atom_site_type_symbol
_atom_site_fract_x
_atom_site_fract_y
_atom_site_fract_z
Cs1 Cs 0.000 0.500 0.250
Te1 Te 0.000 0.000 0.000
Pd1 Pd 0.000 0.000 0.500
Cl1 Cl 0.000 0.000 0.255
Cl2 Cl 0.243 0.243 0.500
# formation energy without anion corrections	-1.081	eV/atom

=====

# PBE CsTiPdCl6, optimized geometry
data_CsTiPdCl6
_space_group_name_H-M_alt 'P 1'
_space_group_IT_number 1
_cell_length_a 6.522
_cell_length_b 6.524
_cell_length_c 7.379
_cell_angle_alpha 94.56
_cell_angle_beta 94.75
_cell_angle_gamma 110.83
loop_
_space_group_symop_operation_xyz
'x,y,z'
loop_
_atom_site_label
_atom_site_type_symbol
_atom_site_fract_x
_atom_site_fract_y
_atom_site_fract_z
Cs1 Cs 0.000 0.000 0.000
Ti1 Ti 0.591 0.409 0.500
Pd1 Pd 0.241 0.758 0.500
Cl1 Cl 0.295 0.468 0.303
Cl2 Cl 0.302 0.134 0.629
Cl3 Cl 0.532 0.703 0.697
Cl4 Cl 0.599 0.153 0.273
Cl5 Cl 0.847 0.401 0.727
Cl6 Cl 0.865 0.698 0.371
# formation energy without anion corrections	-1.323	eV/atom

=====

# PBE CsTl2PdCl5, optimized geometry
data_CsTl2PdCl5
_space_group_name_H-M_alt 'I 4/m c m'
_space_group_IT_number 140
_space_group_name_Hall '-I 4 2c'
_cell_length_a 8.635
_cell_length_b 8.635
_cell_length_c 15.523
_cell_angle_alpha 90.00
_cell_angle_beta 90.00
_cell_angle_gamma 90.00
loop_
_atom_site_label
_atom_site_type_symbol
_atom_site_fract_x
_atom_site_fract_y
_atom_site_fract_z
Cs1 Cs 0.000 0.000 0.250
Tl1 Tl 0.169 0.331 0.000
Pd1 Pd 0.000 0.500 0.250
Cl1 Cl 0.000 0.000 0.000
Cl2 Cl 0.140 0.360 0.359
# formation energy without anion corrections	-0.952	eV/atom

=====

# PBE CsTlPdCl6, optimized geometry
data_CsTlPdCl6
_space_group_name_H-M_alt 'P 3 1 2'
_space_group_IT_number 149
_cell_length_a 6.7699
_cell_length_b 6.7699
_cell_length_c 7.8099
_cell_angle_alpha 90.00
_cell_angle_beta 90.00
_cell_angle_gamma 120.00
loop_
_space_group_symop_operation_xyz
'x,y,z'
'-y,x-y,z'
'-x+y,-x,z'
'-y,-x,-z'
'-x+y,y,-z'
'x,x-y,-z'
loop_
_atom_site_label
_atom_site_type_symbol
_atom_site_fract_x
_atom_site_fract_y
_atom_site_fract_z
Cs1 Cs 0.0000 0.0000 0.0000
Tl1 Tl 0.6667 0.3333 0.5000
Pd1 Pd 0.3333 0.6667 0.5000
Cl1 Cl 0.0124 0.3780 0.6883
# formation energy without anion corrections	-0.880	eV/atom

=====

# PBE Cs2TlPdCl6, optimized geometry
data_Cs2TlPdCl6
_space_group_name_H-M_alt 'P m m n'
_space_group_IT_number 59
_cell_length_a 7.604
_cell_length_b 10.768
_cell_length_c 7.604
_cell_angle_alpha 90.00
_cell_angle_beta 90.00
_cell_angle_gamma 90.00
loop_
_space_group_symop_operation_xyz
'x,y,z'
'-x,-y,-z'
'-x+1/2,-y+1/2,z'
'x+1/2,y+1/2,-z'
'x+1/2,-y,-z'
'-x+1/2,y,z'
'-x,y+1/2,-z'
'x,-y+1/2,z'
loop_
_atom_site_label
_atom_site_type_symbol
_atom_site_fract_x
_atom_site_fract_y
_atom_site_fract_z
Cs1 Cs 0.250 0.000 0.250
Tl1 Tl 0.250 0.250 0.749
Pd1 Pd 0.250 0.750 0.751
Cl1 Cl 0.021 0.750 0.522
Cl2 Cl 0.021 0.750 0.980
Cl3 Cl 0.250 0.521 0.751
# formation energy without anion corrections	-1.211	eV/atom

=====

# PBE CsTmPdCl6, optimized geometry
data_CsTmPdCl6
_space_group_name_H-M_alt 'P 3 1 2'
_space_group_IT_number 149
_cell_length_a 6.7151
_cell_length_b 6.7151
_cell_length_c 7.9226
_cell_angle_alpha 90.00
_cell_angle_beta 90.00
_cell_angle_gamma 120.00
loop_
_space_group_symop_operation_xyz
'x,y,z'
'-y,x-y,z'
'-x+y,-x,z'
'-y,-x,-z'
'-x+y,y,-z'
'x,x-y,-z'
loop_
_atom_site_label
_atom_site_type_symbol
_atom_site_fract_x
_atom_site_fract_y
_atom_site_fract_z
Cs1 Cs 0.0000 0.0000 0.0000
Tm1 Tm 0.3333 0.6667 0.5000
Pd1 Pd 0.6667 0.3333 0.5000
Cl1 Cl 0.3746 0.0066 0.3124
# formation energy without anion corrections	-1.587	eV/atom

=====

The records above yield energy values of -63.85, -36.93, -114.33, -27.41, -64.91, -35.88 eV/cell, respectively.